Here is MgCdCoAs after structural relaxation from OQMD via LeMat-Bulk. Energies are from PBE-GGA.

Cell: 6.437 6.437 6.437 Å, 90.00 90.00 90.00°
Space group F-43m (No. 216)
Unique sites:
1 Mg 0.000 0.000 0.000
2 Cd 0.250 0.250 0.750
3 Co 0.000 0.000 0.500
4 As 0.250 0.250 0.250

uncorrected energy	-3.399	eV/atom
polymorph energy (0 for the lowest one)	0.00	eV/f.u.
total magnetic moment	0.02	μB/cell

---

Here is NaCd2Co2As3 after structural relaxation from OQMD via LeMat-Bulk. Energies are from PBE-GGA.

Cell: 3.7068 3.7068 39.6032 Å, 90.00 90.00 120.00°
Space group R-3m (No. 166, hexagonal axes)
Unique sites:
1 Na 0.0000 0.0000 0.0000
2 Cd 0.0000 0.0000 0.2119
3 Co 0.0000 0.0000 0.4060
4 As 0.0000 0.0000 0.2817
5 As 0.0000 0.0000 0.5000

uncorrected energy	-3.879	eV/atom
total magnetic moment	0.01	μB/cell

---

Here is NbCdCoAs after structural relaxation from OQMD via LeMat-Bulk. Energies are from PBE-GGA.

Cell: 6.366 6.366 6.366 Å, 90.00 90.00 90.00°
Space group F-43m (No. 216)
Unique sites:
1 Nb 0.000 0.000 0.000
2 Cd 0.250 0.250 0.750
3 Co 0.000 0.000 0.500
4 As 0.250 0.250 0.250

uncorrected energy	-5.369	eV/atom
polymorph energy (0 for the lowest one)	0.00	eV/f.u.
total magnetic moment	0.86	μB/cell